Entry 1:
ZnAgN2 | GGA-PBE | relaxed

The structure belongs to space group I-42d (No. 122); the cell edges are 4.731, 4.731 and 9.681 Å and the angles 90.00°, 90.00° and 90.00°. The asymmetric unit holds Zn at (0.000, 0.000, 0.000), Ag at (0.000, 0.000, 0.500) and N at (0.225, 0.250, 0.125).

The crystal system is tetragonal. As for the energy: -4.011 eV per atom. The raw formation energy comes out at 1.18 eV per atom.

***

Entry 2:
MnIn2Cl | GGA-PBE | relaxed

The structure belongs to space group Immm (No. 71); the cell edges are 3.066, 4.413 and 14.256 Å and the angles 90.00°, 90.00° and 90.00°. The asymmetric unit holds Mn at (0.000, 0.000, 0.000), In at (0.000, 0.500, 0.316) and Cl at (0.000, 0.000, 0.500).

As for the energy above the most stable polymorph in this dataset: 128 meV per atom. The crystal system is orthorhombic. As for the energy: -4.130 eV per atom. The raw formation energy comes out at -0.01 eV per atom.

***

Entry 3:
TaTe2As | GGA-PBE | relaxed

The structure belongs to space group Cmmm (No. 65); the cell edges are 5.072, 11.363 and 3.884 Å and the angles 90.00°, 90.00° and 90.00°. The asymmetric unit holds Ta at (0.000, 0.000, 0.000), Te at (0.000, 0.179, 0.500) and As at (0.000, 0.500, 0.000).

The crystal system is orthorhombic. As for the energy: -5.698 eV per atom. The raw formation energy comes out at 0.00 eV per atom.

***

Entry 4:
Pr4Cd5Au2 | GGA-PBE | relaxed

The structure belongs to space group P2/m (No. 10); the cell edges are 7.849, 3.767 and 10.178 Å and the angles 90.00°, 94.18° and 90.00°. The asymmetric unit holds Pr at (0.167, 0.000, 0.370), Pr at (0.248, 0.000, 0.944), Cd at (0.194, 0.500, 0.656), Cd at (0.447, 0.500, 0.197), Cd at (0.500, 0.500, 0.500) and Au at (0.064, 0.500, 0.138).

For the formation energy, the calculation gives -0.440 eV per atom. The crystal system is monoclinic. As for the energy: -3.190 eV per atom.

***

Entry 5:
TmZnSb2 | GGA-PBE | relaxed

The structure belongs to space group P4/mmm (No. 123); the cell edges are 4.800, 4.800 and 4.126 Å and the angles 90.00°, 90.00° and 90.00°. The asymmetric unit holds Tm at (0.000, 0.000, 0.000), Zn at (0.500, 0.500, 0.000) and Sb at (0.000, 0.500, 0.500).

The crystal system is tetragonal. As for the energy: -3.874 eV per atom. The raw formation energy comes out at -0.38 eV per atom.

***

Entry 6:
BC2 | GGA-PBE | relaxed

The structure belongs to space group C2/m (No. 12); the cell edges are 8.565, 2.491 and 8.100 Å and the angles 90.00°, 118.96° and 90.00°. The asymmetric unit holds B at (0.104, 0.000, 0.331), B at (0.115, 0.500, 0.494), C at (0.078, 0.000, 0.870), C at (0.083, 0.500, 0.982), C at (0.227, 0.500, 0.713) and C at (0.237, 0.000, 0.826).

As for the energy above the most stable polymorph in this dataset: 44 meV per atom. For the formation energy, the calculation gives 0.284 eV per atom. The crystal system is monoclinic. As for the energy: -8.091 eV per atom.

***

Entry 7:
Na2TaV2Te6 | GGA-PBE | relaxed

The structure belongs to space group C2/m (No. 12); the cell edges are 6.444, 11.452 and 8.336 Å and the angles 90.00°, 101.77° and 90.00°. The asymmetric unit holds Na at (0.000, 0.176, 0.000), Ta at (0.000, 0.000, 0.500), V at (0.000, 0.374, 0.500), Te at (0.221, 0.179, 0.691) and Te at (0.230, 0.500, 0.733).

The crystal system is monoclinic. As for the energy: -5.122 eV per atom. The raw formation energy comes out at -0.43 eV per atom.

***

Entry 8:
MnSe | GGA-PBE | relaxed

The structure belongs to space group Fm-3m (No. 225); the cell edges are 5.395, 5.395 and 5.395 Å and the angles 90.00°, 90.00° and 90.00°. The asymmetric unit holds Mn at (0.000, 0.000, 0.000) and Se at (0.000, 0.000, 0.500).

The crystal system is cubic. As for the energy: -6.675 eV per atom. The raw formation energy comes out at -0.35 eV per atom.

***

Entry 9:
YHfAs2Rh5 | GGA-PBE | relaxed

The structure belongs to space group P4/mmm (No. 123); the cell edges are 4.003, 4.003 and 11.145 Å and the angles 90.00°, 90.00° and 90.00°. The asymmetric unit holds Y at (0.000, 0.000, 0.000), Hf at (0.500, 0.500, 0.500), As at (0.500, 0.500, 0.213), Rh at (0.000, 0.500, 0.336) and Rh at (0.500, 0.500, 0.000).

For the formation energy, the calculation gives -0.369 eV per atom. The crystal system is tetragonal. As for the energy: -7.311 eV per atom.

***

Entry 10:
BaGaN2 | GGA-PBE | relaxed

The structure belongs to space group R-3m (No. 166, hexagonal axes); the cell edges are 3.4104, 3.4104 and 20.0050 Å and the angles 90.00°, 90.00° and 120.00°. The asymmetric unit holds Ba at (0.0000, 0.0000, 0.0000), Ga at (0.0000, 0.0000, 0.5000) and N at (0.0000, 0.0000, 0.1198).

The crystal system is trigonal. As for the energy: -4.580 eV per atom. The raw formation energy comes out at 0.82 eV per atom.

***

Entry 11:
Cs2KBeSb2 | GGA-PBE | relaxed

The structure belongs to space group Ibam (No. 72); the cell edges are 8.198, 15.813 and 7.664 Å and the angles 90.00°, 90.00° and 90.00°. The asymmetric unit holds Cs at (0.231, 0.175, 0.000), K at (0.000, 0.500, 0.250), Be at (0.000, 0.000, 0.250) and Sb at (0.161, 0.068, 0.500).

The crystal system is orthorhombic. As for the energy: -2.687 eV per atom. The raw formation energy comes out at -0.22 eV per atom.

***

Entry 12:
AlVW3 | GGA-PBE | relaxed

The structure belongs to space group Pm-3m (No. 221); the cell edges are 4.545, 4.545 and 4.545 Å and the angles 90.00°, 90.00° and 90.00°. The asymmetric unit holds Al at (0.000, 0.000, 0.000), V at (0.500, 0.500, 0.500) and W at (0.000, 0.500, 0.500).

As for the energy above the most stable polymorph in this dataset: 1603 meV per atom. For the formation energy, the calculation gives 1.570 eV per atom. The crystal system is cubic. As for the energy: -8.774 eV per atom.